# 1
This record from the Alexandria database describes crystalline NiW2Cl at its relaxed geometry. The functional is PBE-GGA.

Properties
The calculated total energy comes out at -7.86 eV/atom. As for the density of states at the Fermi level: 1.551 states/eV/f.u.

a b c (Å): 8.6308 8.6308 8.6308
angles (deg): 18.91 18.91 18.91
With the nearest neighbours (Å) after each atom.
Fractional positions:
Cl: 0.2500 0.2500 0.2500  6 W 2.71, 6 Cl 2.84
W: 0.0016 0.0016 0.0016  3 Ni 2.65, 3 Cl 2.71, 6 W 2.84
Ni: 0.7500 0.7500 0.7500  6 W 2.65, 6 Ni 2.84
W: 0.4984 0.4984 0.4984  3 Ni 2.65, 3 Cl 2.71, 6 W 2.84

# 2
This record from the Alexandria database describes crystalline NiW4Cl at its relaxed geometry. The functional is PBE-GGA.

Properties
The calculated total energy comes out at -8.69 eV/atom. As for the density of states at the Fermi level: 4.599 states/eV/f.u.

a b c (Å): 5.2933 5.2933 5.2933
angles (deg): 60.00 60.00 60.00
With the nearest neighbours (Å) after each atom.
Fractional positions:
W: 0.3755 0.3755 0.8735  6 W 2.64-2.66
Cl: 0.7500 0.7500 0.7500  12 W 3.10, 4 Ni 3.24
Ni: 0.0000 0.0000 0.0000  12 W 3.10, 4 Cl 3.24
W: 0.3755 0.8735 0.3755  6 W 2.64-2.66
W: 0.3755 0.3755 0.3755  6 W 2.64-2.66
W: 0.8735 0.3755 0.3755  6 W 2.64-2.66

# 3
This record from the Alexandria database describes crystalline NiWCl2 at its relaxed geometry. The functional is PBE-GGA.

Properties
The calculated total energy comes out at -4.75 eV/atom. As for the density of states at the Fermi level: 4.723 states/eV/f.u.

a b c (Å): 5.5600 5.5600 6.1286
angles (deg): 63.02 63.02 90.00
With the nearest neighbours (Å) after each atom.
Fractional positions:
Ni: 0.5000 0.5000 0.0000  4 Cl 2.21
Cl: 0.3750 0.3988 0.7500  2 Ni 2.21, 2 W 2.37
Cl: 0.1488 0.6250 0.2500  2 Ni 2.21, 2 W 2.37
Ni: 0.2500 0.7500 0.5000  4 Cl 2.21
Cl: 0.6012 0.1250 0.2500  2 Ni 2.21, 2 W 2.37
Cl: 0.8750 0.8512 0.7500  2 Ni 2.21, 2 W 2.37
W: 0.0000 0.0000 0.0000  4 Cl 2.37
W: 0.7500 0.2500 0.5000  4 Cl 2.37

# 4
This record from the Alexandria database describes crystalline NiW2Cl at its relaxed geometry. The functional is PBE-GGA.

Properties
The calculated total energy comes out at -7.33 eV/atom. As for the density of states at the Fermi level: 4.634 states/eV/f.u.

a b c (Å): 3.8084 3.8084 9.3049
angles (deg): 78.19 78.19 90.00
With the nearest neighbours (Å) after each atom.
Fractional positions:
W: 0.3750 0.3586 0.7500  2 Ni 2.58, 4 W 2.61-2.78, 2 Cl 2.63
Cl: 0.2500 0.7500 0.5000  4 W 2.63, 4 Ni 2.69
W: 0.6414 0.1250 0.2500  2 Ni 2.58, 4 W 2.61-2.78, 2 Cl 2.63
Ni: 0.0000 0.0000 0.0000  4 W 2.58, 4 Cl 2.69
Cl: 0.5000 0.5000 0.0000  4 W 2.63, 4 Ni 2.69
Ni: 0.7500 0.2500 0.5000  4 W 2.58, 4 Cl 2.69
W: 0.1086 0.6250 0.2500  2 Ni 2.58, 4 W 2.61-2.78, 2 Cl 2.63
W: 0.8750 0.8914 0.7500  2 Ni 2.58, 4 W 2.61-2.78, 2 Cl 2.63

Among the records above, which one has the lowest calculated total energy?
NiW4Cl